# TaTi3Sn2 PBE optimized geometry
data_TaTi3Sn2
_chemical_formula_sum 'Ta4 Ti12 Sn8'
_cell_length_a 7.955
_cell_length_b 3.022
_cell_length_c 18.769
_cell_angle_alpha 90.00
_cell_angle_beta 90.00
_cell_angle_gamma 90.00
_symmetry_space_group_name_H-M 'P n m a'
_symmetry_Int_Tables_number 62
loop_
_symmetry_equiv_pos_as_xyz
'x,y,z'
'-x,-y,-z'
'-x+1/2,-y,z+1/2'
'x+1/2,y,-z+1/2'
'x+1/2,-y+1/2,-z+1/2'
'-x+1/2,y+1/2,z+1/2'
'-x,y+1/2,-z'
'x,-y+1/2,z'
loop_
_atom_site_label
_atom_site_type_symbol
_atom_site_fract_x
_atom_site_fract_y
_atom_site_fract_z
Ta1 Ta 0.064 0.250 0.067
Ti1 Ti 0.010 0.750 0.670
Ti2 Ti 0.139 0.250 0.555
Ti3 Ti 0.140 0.750 0.809
Sn1 Sn 0.175 0.750 0.200
Sn2 Sn 0.223 0.750 0.428
# Density of states at the Fermi level, states/eV per atom: 0.85
# Relative energy among the computed polymorphs, eV/atom: 0.1912
# Total magnetization, μB per formula unit: 0.000
# Energy of formation from the pure elements, meV/atom: -89.7
# Uncorrected energy, eV/cell: -176.3